# 1
A relaxed structure of Zn2HgAs. Source: the Alexandria database, functional PBE.

Cell and atoms, written as POSCAR:
```
Zn2HgAs
1.0
2.002 1.156 5.972
-2.002 1.156 5.972
0.000 -2.312 5.972
Zn Hg As
2 1 1
Direct
0.000 0.000 0.000
0.193 0.193 0.193
0.424 0.424 0.424
0.592 0.592 0.592
```

Computed properties:
Fermi-level density of states = 0.80 states/eV/f.u.
total magnetization = 0.00 μB/f.u.
final energy = -7.30 eV/cell

# 2
A relaxed structure of ZnHg2As. Source: the Alexandria database, functional PBE.

Cell and atoms, written as POSCAR:
```
ZnHg2As
1.0
-2.175 2.175 4.483
2.175 -2.175 4.483
2.175 2.175 -4.483
Zn Hg As
1 2 1
Direct
0.000 0.000 0.000
0.250 0.750 0.500
0.750 0.250 0.500
0.500 0.500 0.000
```

Computed properties:
Fermi-level density of states = 1.18 states/eV/f.u.
total magnetization = 0.00 μB/f.u.
final energy = -5.46 eV/cell

# 3
A relaxed structure of ZnHg2As. Source: the Alexandria database, functional PBE.

Cell and atoms, written as POSCAR:
```
ZnHg2As
1.0
1.679 0.970 8.757
-1.679 0.970 8.757
0.000 -1.939 8.757
Zn Hg As
1 2 1
Direct
0.000 0.000 0.000
0.256 0.256 0.256
0.744 0.744 0.744
0.500 0.500 0.500
```

Computed properties:
Fermi-level density of states = 1.08 states/eV/f.u.
total magnetization = 0.00 μB/f.u.
final energy = -5.66 eV/cell

# 4
A relaxed structure of Zn2Hg2As. Source: the Alexandria database, functional PBE.

Cell and atoms, written as POSCAR:
```
Zn2Hg2As
1.0
-1.958 1.958 6.766
1.958 -1.958 6.766
1.958 1.958 -6.766
Zn Hg As
2 2 1
Direct
0.250 0.750 0.500
0.750 0.250 0.500
0.105 0.105 0.000
0.895 0.895 0.000
0.500 0.500 0.000
```

Computed properties:
Fermi-level density of states = 1.76 states/eV/f.u.
total magnetization = 0.00 μB/f.u.
final energy = -6.47 eV/cell

# 5
A relaxed structure of Zn2HgAs. Source: the Alexandria database, functional PBE.

Cell and atoms, written as POSCAR:
```
Zn2HgAs
1.0
-1.978 1.978 4.903
1.978 -1.978 4.903
1.978 1.978 -4.903
Zn Hg As
2 1 1
Direct
0.000 0.000 0.000
0.750 0.250 0.500
0.500 0.500 0.000
0.250 0.750 0.500
```

Computed properties:
Fermi-level density of states = 1.79 states/eV/f.u.
total magnetization = 0.00 μB/f.u.
final energy = -6.68 eV/cell

# 6
A relaxed structure of ZnHg2As. Source: the Alexandria database, functional PBE.

Cell and atoms, written as POSCAR:
```
ZnHg2As
1.0
-1.612 2.211 6.297
1.612 -2.211 6.297
1.612 2.211 -6.297
Zn Hg As
1 2 1
Direct
0.000 0.000 0.000
0.435 0.435 0.000
0.757 0.257 0.500
0.164 0.664 0.500
```

Computed properties:
Fermi-level density of states = 1.17 states/eV/f.u.
total magnetization = 0.00 μB/f.u.
final energy = -5.82 eV/cell